No. 1
! Cu3Ag2 | OQMD via LeMat-Bulk | PBE | relaxed; values from VASP
! SG: P1
! Formation enthalpy at 0 K, eV/f.u.: 0.5
! Crystal system: triclinic
&SYSTEM
  ibrav = 0, nat = 25, ntyp = 2
/
ATOMIC_SPECIES
Ag 107.87 Ag.upf
Cu 63.55 Cu.upf
CELL_PARAMETERS angstrom
-2.8077 -3.6899 -0.7586
5.8217 -5.1055 3.6523
-6.2472 4.4239 6.1296
ATOMIC_POSITIONS crystal
Ag 0.0068 0.9946 0.0046
Ag 0.8738 0.3312 0.0443
Ag 0.5205 0.9577 0.1341
Ag 0.7194 0.5664 0.3161
Ag 0.2275 0.5145 0.4385
Ag 0.5994 0.8022 0.5987
Ag 0.2492 0.4261 0.6817
Ag 0.9781 0.0903 0.7443
Ag 0.6309 0.7070 0.8376
Ag 0.4825 0.0539 0.8818
Cu 0.6887 0.6435 0.0818
Cu 0.3734 0.2826 0.1682
Cu 0.2165 0.6179 0.2006
Cu 0.0383 0.9150 0.2487
Cu 0.8767 0.2361 0.2857
Cu 0.5609 0.8862 0.3653
Cu 0.3865 0.1940 0.3983
Cu 0.0906 0.8471 0.4721
Cu 0.9032 0.1512 0.5011
Cu 0.7420 0.4597 0.5541
Cu 0.4509 0.1210 0.6236
Cu 0.1090 0.7543 0.7175
Cu 0.7817 0.3972 0.8003
Cu 0.3438 0.3798 0.9337
Cu 0.1499 0.6705 0.9672

No. 2
! Cu4Ag5 | OQMD via LeMat-Bulk | PBE | relaxed; values from VASP
! SG: Immm
! Formation enthalpy at 0 K, eV/f.u.: 0.8
! Crystal system: orthorhombic
&SYSTEM
  ibrav = 0, nat = 9, ntyp = 2
/
ATOMIC_SPECIES
Ag 107.87 Ag.upf
Cu 63.55 Cu.upf
CELL_PARAMETERS angstrom
-1.4105 1.9016 12.8026
1.4105 -1.9016 12.8026
1.4105 1.9016 -12.8026
ATOMIC_POSITIONS crystal
Ag 0.1716 0.1716 0.0000
Ag 0.3906 0.3906 0.0000
Ag 0.5000 0.5000 0.0000
Ag 0.6094 0.6094 0.0000
Ag 0.8284 0.8284 0.0000
Cu 0.0540 0.0540 0.0000
Cu 0.2744 0.2744 0.0000
Cu 0.7256 0.7256 0.0000
Cu 0.9460 0.9460 0.0000